VASP calculation (GGA-PBEsol) on crystalline Y2ZrAs at its relaxed geometry.

Output
Energy of formation from the pure elements = -586 meV per atom

a b c (Å): 3.9771 4.2981 6.0119
angles (deg): 90.00 109.32 90.00
Closest atoms and distances in Å follow each position.
Atoms (fractional coordinates):
As (0.6754, 0.5000, 0.3507)  2 Zr 2.70
Zr (0.8195, 0.0000, 0.6390)  2 As 2.70
Y (0.4027, 0.5000, 0.8055)  4 Zr 3.08, 3 As 3.09-3.26
Y (0.1022, 0.0000, 0.2043)  4 As 3.04, 3 Zr 3.17-3.21